A plane-wave DFT calculation with PBE+U was carried out for a relaxed structure of ZrIn2FeO6.

a b c (Å): 5.509 5.480 5.887
angles (deg): 61.39 61.49 60.44
Site moments in Bohr magnetons follow the coordinates.
Atoms (fractional coordinates):
Zr (0.809, 0.812, 0.568)  0.03
In (0.524, 0.527, 0.422)  0.01
In (0.021, 0.022, 0.933)  0.00
Fe (0.314, 0.307, 0.067)  3.77
O (0.619, 0.204, 0.259)  0.02
O (0.207, 0.927, 0.255)  0.02
O (0.920, 0.619, 0.260)  0.01
O (0.427, 0.707, 0.758)  0.02
O (0.717, 0.104, 0.749)  0.02
O (0.105, 0.431, 0.745)  0.01

Calculated values
Total energy (eV per atom): -6.941